(1)
# Pa3Os PBE optimized geometry
# Formation energy from the elements   0.047 eV per atom
# Fermi-level density of states   47.175 states/eV per cell
data_Pa3Os
_chemical_formula_sum 'Pa12 Os4'
_space_group_name_H-M_alt 'F m -3 m'
_space_group_IT_number 225
_space_group_name_Hall '-F 4 2 3'
_cell_length_a 7.049
_cell_length_b 7.049
_cell_length_c 7.049
_cell_angle_alpha 90.00
_cell_angle_beta 90.00
_cell_angle_gamma 90.00
loop_
_atom_site_label
_atom_site_type_symbol
_atom_site_fract_x
_atom_site_fract_y
_atom_site_fract_z
_atom_site_occupancy
Pa1 Pa 0.000 0.000 0.000 1
Pa2 Pa 0.250 0.250 0.250 1
Os1 Os 0.000 0.000 0.500 1


(2)
# PaOs3 PBE optimized geometry
# Formation energy from the elements   0.041 eV per atom
# Fermi-level density of states   8.094 states/eV per cell
data_PaOs3
_chemical_formula_sum 'Pa2 Os6'
_space_group_name_H-M_alt 'I 4/m m m'
_space_group_IT_number 139
_space_group_name_Hall '-I 4 2'
_cell_length_a 4.083
_cell_length_b 4.083
_cell_length_c 8.153
_cell_angle_alpha 90.00
_cell_angle_beta 90.00
_cell_angle_gamma 90.00
loop_
_atom_site_label
_atom_site_type_symbol
_atom_site_fract_x
_atom_site_fract_y
_atom_site_fract_z
_atom_site_occupancy
Pa1 Pa 0.000 0.000 0.000 1
Os1 Os 0.000 0.000 0.500 1
Os2 Os 0.000 0.500 0.250 1


(3)
# Pa3OsPb PBE optimized geometry
# Formation energy from the elements   0.037 eV per atom
# Fermi-level density of states   18.946 states/eV per cell
data_Pa3OsPb
_chemical_formula_sum 'Pa6 Os2 Pb2'
_space_group_name_H-M_alt 'P 1 21/m 1'
_space_group_IT_number 11
_space_group_name_Hall '-P 2yb'
_cell_length_a 3.208
_cell_length_b 8.717
_cell_length_c 8.792
_cell_angle_alpha 90.00
_cell_angle_beta 90.11
_cell_angle_gamma 90.00
loop_
_atom_site_label
_atom_site_type_symbol
_atom_site_fract_x
_atom_site_fract_y
_atom_site_fract_z
_atom_site_occupancy
Pa1 Pa 0.002 0.250 0.425 1
Pa2 Pa 0.008 0.590 0.216 1
Os1 Os 0.500 0.000 0.500 1
Pb1 Pb 0.499 0.250 0.087 1